(1)
# CsAgTe6Au GGA-PBE optimized geometry
data_CsAgTe6Au
_chemical_formula_sum 'Cs4 Ag4 Te24 Au4'
_cell_length_a 8.364
_cell_length_b 9.845
_cell_length_c 15.744
_cell_angle_alpha 90.00
_cell_angle_beta 90.00
_cell_angle_gamma 90.00
_space_group_name_H-M_alt 'I m m a'
_space_group_IT_number 74
_space_group_name_Hall '-I 2b 2'
loop_
_atom_site_label
_atom_site_type_symbol
_atom_site_fract_x
_atom_site_fract_y
_atom_site_fract_z
Cs1 Cs 0.000 0.250 0.166
Ag1 Ag 0.250 0.250 0.750
Te1 Te 0.000 0.250 0.406
Te2 Te 0.000 0.250 0.905
Te3 Te 0.227 0.042 0.627
Au1 Au 0.000 0.000 0.500
# spin magnetization = 0.000 μB/f.u.
# formation energy from raw total energies = -0.10 eV per atom

(2)
# Ba2AlMoH GGA-PBE optimized geometry
data_Ba2AlMoH
_chemical_formula_sum 'Ba2 Al1 Mo1 H1'
_cell_length_a 6.158
_cell_length_b 6.158
_cell_length_c 3.706
_cell_angle_alpha 90.00
_cell_angle_beta 90.00
_cell_angle_gamma 90.00
_space_group_name_H-M_alt 'P 4/m m m'
_space_group_IT_number 123
_space_group_name_Hall '-P 4 2'
loop_
_atom_site_label
_atom_site_type_symbol
_atom_site_fract_x
_atom_site_fract_y
_atom_site_fract_z
Ba1 Ba 0.000 0.500 0.000
Al1 Al 0.000 0.000 0.500
Mo1 Mo 0.500 0.500 0.000
H1 H 0.500 0.500 0.500
# spin magnetization = 2.205 μB/f.u.
# DFT total energy = -3.64 eV/atom

(3)
# BaSi2Ag GGA-PBE optimized geometry
data_BaSi2Ag
_chemical_formula_sum 'Ba1 Si2 Ag1'
_cell_length_a 4.043
_cell_length_b 4.400
_cell_length_c 5.983
_cell_angle_alpha 90.00
_cell_angle_beta 100.48
_cell_angle_gamma 90.00
_space_group_name_H-M_alt 'P 1 2/m 1'
_space_group_IT_number 10
_space_group_name_Hall '-P 2y'
loop_
_atom_site_label
_atom_site_type_symbol
_atom_site_fract_x
_atom_site_fract_y
_atom_site_fract_z
Ba1 Ba 0.000 0.000 0.000
Si1 Si 0.277 0.500 0.629
Ag1 Ag 0.500 0.000 0.500
# spin magnetization = 0.000 μB/f.u.
# formation energy from raw total energies = -0.14 eV per atom

(4)
# Ho2Cu4Ni3 GGA-PBE optimized geometry
data_Ho2Cu4Ni3
_chemical_formula_sum 'Ho8 Cu16 Ni12'
_cell_length_a 4.879
_cell_length_b 8.607
_cell_length_c 12.574
_cell_angle_alpha 90.00
_cell_angle_beta 90.00
_cell_angle_gamma 90.00
_space_group_name_H-M_alt 'F m m m'
_space_group_IT_number 69
_space_group_name_Hall '-F 2 2'
loop_
_atom_site_label
_atom_site_type_symbol
_atom_site_fract_x
_atom_site_fract_y
_atom_site_fract_z
Ho1 Ho 0.000 0.000 0.130
Cu1 Cu 0.000 0.168 0.332
Ni1 Ni 0.000 0.000 0.500
Ni2 Ni 0.250 0.250 0.000
# spin magnetization = 0.000 μB/f.u.
# formation energy = -0.33 eV/atom

(5)
# BeBi3Br GGA-PBE optimized geometry
data_BeBi3Br
_chemical_formula_sum 'Be1 Bi3 Br1'
_cell_length_a 5.198
_cell_length_b 5.198
_cell_length_c 5.198
_cell_angle_alpha 90.00
_cell_angle_beta 90.00
_cell_angle_gamma 90.00
_space_group_name_H-M_alt 'P m -3 m'
_space_group_IT_number 221
_space_group_name_Hall '-P 4 2 3'
loop_
_atom_site_label
_atom_site_type_symbol
_atom_site_fract_x
_atom_site_fract_y
_atom_site_fract_z
Be1 Be 0.000 0.000 0.000
Bi1 Bi 0.000 0.000 0.500
Br1 Br 0.500 0.500 0.500
# spin magnetization = 0.000 μB/f.u.
# formation energy from raw total energies = 0.37 eV per atom

(6)
# Dy3Tl3In GGA-PBE optimized geometry
data_Dy3Tl3In
_chemical_formula_sum 'Dy6 Tl6 In2'
_cell_length_a 9.0811
_cell_length_b 9.0811
_cell_length_c 5.3988
_cell_angle_alpha 90.00
_cell_angle_beta 90.00
_cell_angle_gamma 120.00
_space_group_name_H-M_alt 'P 63/m'
_space_group_IT_number 176
_space_group_name_Hall '-P 6c'
loop_
_atom_site_label
_atom_site_type_symbol
_atom_site_fract_x
_atom_site_fract_y
_atom_site_fract_z
Dy1 Dy 0.1009 0.6471 0.2500
Tl1 Tl 0.0519 0.8062 0.7500
In1 In 0.3333 0.6667 0.7500
# spin magnetization = 0.000 μB/f.u.
# formation energy = -0.26 eV/atom

(7)
# CeYRuPt GGA-PBE optimized geometry
data_CeYRuPt
_chemical_formula_sum 'Ce4 Y4 Ru4 Pt4'
_cell_length_a 6.975
_cell_length_b 6.975
_cell_length_c 6.975
_cell_angle_alpha 90.00
_cell_angle_beta 90.00
_cell_angle_gamma 90.00
_space_group_name_H-M_alt 'F -4 3 m'
_space_group_IT_number 216
_space_group_name_Hall 'F -4 2 3'
loop_
_atom_site_label
_atom_site_type_symbol
_atom_site_fract_x
_atom_site_fract_y
_atom_site_fract_z
Ce1 Ce 0.000 0.000 0.000
Y1 Y 0.000 0.000 0.500
Ru1 Ru 0.250 0.250 0.750
Pt1 Pt 0.250 0.250 0.250
# spin magnetization = 0.364 μB/f.u.
# formation energy = -0.68 eV/atom

(8)
# Mg2BeP2Ru GGA-PBE optimized geometry
data_Mg2BeP2Ru
_chemical_formula_sum 'Mg8 Be4 P8 Ru4'
_cell_length_a 5.153
_cell_length_b 12.111
_cell_length_c 5.721
_cell_angle_alpha 90.00
_cell_angle_beta 90.00
_cell_angle_gamma 90.00
_space_group_name_H-M_alt 'I b a m'
_space_group_IT_number 72
_space_group_name_Hall '-I 2 2c'
loop_
_atom_site_label
_atom_site_type_symbol
_atom_site_fract_x
_atom_site_fract_y
_atom_site_fract_z
Mg1 Mg 0.234 0.170 0.000
Be1 Be 0.000 0.500 0.250
P1 P 0.227 0.387 0.000
Ru1 Ru 0.000 0.000 0.250
# spin magnetization = 0.000 μB/f.u.
# formation energy = -0.45 eV/atom

(9)
# Pm2PrNpP4 GGA-PBE optimized geometry
data_Pm2PrNpP4
_chemical_formula_sum 'Pm2 Pr1 Np1 P4'
_cell_length_a 7.105
_cell_length_b 4.097
_cell_length_c 7.111
_cell_angle_alpha 90.00
_cell_angle_beta 109.31
_cell_angle_gamma 90.00
_space_group_name_H-M_alt 'P 1 2/m 1'
_space_group_IT_number 10
_space_group_name_Hall '-P 2y'
loop_
_atom_site_label
_atom_site_type_symbol
_atom_site_fract_x
_atom_site_fract_y
_atom_site_fract_z
Pm1 Pm 0.000 0.000 0.000
Pm2 Pm 0.000 0.500 0.500
Pr1 Pr 0.500 0.000 0.500
Np1 Np 0.500 0.500 0.000
P1 P 0.254 0.500 0.240
P2 P 0.259 0.000 0.762
# spin magnetization = 3.632 μB/f.u.
# formation energy = -1.36 eV/atom

(10)
# Pr2ErAs4Rh3 GGA-PBE optimized geometry
data_Pr2ErAs4Rh3
_chemical_formula_sum 'Pr2 Er1 As4 Rh3'
_cell_length_a 4.343
_cell_length_b 4.343
_cell_length_c 10.851
_cell_angle_alpha 90.00
_cell_angle_beta 90.00
_cell_angle_gamma 90.00
_space_group_name_H-M_alt 'P -4 m 2'
_space_group_IT_number 115
_space_group_name_Hall 'P -4 -2'
loop_
_atom_site_label
_atom_site_type_symbol
_atom_site_fract_x
_atom_site_fract_y
_atom_site_fract_z
Pr1 Pr 0.000 0.500 0.223
Er1 Er 0.000 0.000 0.500
As1 As 0.000 0.000 0.000
As2 As 0.000 0.500 0.660
As3 As 0.500 0.500 0.000
Rh1 Rh 0.000 0.500 0.890
Rh2 Rh 0.500 0.500 0.500
# spin magnetization = 0.000 μB/f.u.
# formation energy = -0.98 eV/atom

(11)
# Tl2OsCl GGA-PBE optimized geometry
data_Tl2OsCl
_chemical_formula_sum 'Tl4 Os2 Cl2'
_cell_length_a 4.074
_cell_length_b 4.074
_cell_length_c 12.638
_cell_angle_alpha 90.00
_cell_angle_beta 90.00
_cell_angle_gamma 90.00
_space_group_name_H-M_alt 'I -4 m 2'
_space_group_IT_number 119
_space_group_name_Hall 'I -4 -2'
loop_
_atom_site_label
_atom_site_type_symbol
_atom_site_fract_x
_atom_site_fract_y
_atom_site_fract_z
Tl1 Tl 0.000 0.000 0.000
Tl2 Tl 0.000 0.500 0.250
Os1 Os 0.000 0.000 0.500
Cl1 Cl 0.000 0.500 0.750
# spin magnetization = 2.135 μB/f.u.
# formation energy from raw total energies = 0.82 eV per atom

(12)
# GaSbRu2Cl GGA-PBE optimized geometry
data_GaSbRu2Cl
_chemical_formula_sum 'Ga1 Sb1 Ru2 Cl1'
_cell_length_a 4.750
_cell_length_b 4.750
_cell_length_c 4.583
_cell_angle_alpha 90.00
_cell_angle_beta 90.00
_cell_angle_gamma 90.00
_space_group_name_H-M_alt 'P 4/m m m'
_space_group_IT_number 123
_space_group_name_Hall '-P 4 2'
loop_
_atom_site_label
_atom_site_type_symbol
_atom_site_fract_x
_atom_site_fract_y
_atom_site_fract_z
Ga1 Ga 0.000 0.000 0.000
Sb1 Sb 0.500 0.500 0.500
Ru1 Ru 0.000 0.500 0.000
Cl1 Cl 0.000 0.000 0.500
# spin magnetization = 1.508 μB/f.u.
# formation energy from raw total energies = 1.04 eV per atom

Listing density of states at the Fermi level for the structures above in their given order: 21.306; 4.928; 1.568; 18.382; 4.145; 9.588; 19.139; 6.466; 11.430; 4.292; 8.248; 8.398 states/eV per cell.